A relaxed structure of Li3Ni, computed with PBE.

Unit cell a=2.6589 b=2.6589 c=9.2762 alpha=90.00 beta=90.00 gamma=120.00
Space group P-6m2 (No. 187)
Unique sites:
Li  0.0000  0.0000  0.0000 [1 per cell]
Li  0.3333  0.6667  0.2817 [2 per cell]
Ni  0.0000  0.0000  0.5000 [1 per cell]

Output
formation enthalpy at 0 K	22.5	kJ/mol of formula units

---

A relaxed structure of Ga2SnSb2, computed with PBE.

Unit cell a=4.241 b=4.241 c=14.571 alpha=90.00 beta=90.00 gamma=90.00
Space group I4/mmm (No. 139)
Unique sites:
Ga  0.000  0.500  0.250 [4 per cell]
Sn  0.000  0.000  0.000 [2 per cell]
Sb  0.000  0.000  0.387 [4 per cell]

Output
energy above the lowest structure with this stoichiometry	0.06	eV per formula unit

---

A relaxed structure of KCrAs2, computed with PBE.

Unit cell a=5.525 b=5.525 c=2.878 alpha=90.00 beta=90.00 gamma=90.00
Space group P4/mmm (No. 123)
Unique sites:
K  0.000  0.000  0.000 [1 per cell]
Cr  0.500  0.500  0.000 [1 per cell]
As  0.000  0.500  0.500 [2 per cell]

Output
energy above the lowest structure with this stoichiometry	2.30	eV per formula unit
formation enthalpy at 0 K	150.8	kJ/mol of formula units

---

A relaxed structure of PrHo2Zr, computed with PBE.

Unit cell a=7.815 b=7.815 c=7.815 alpha=90.00 beta=90.00 gamma=90.00
Space group Fm-3m (No. 225)
Unique sites:
Pr  0.000  0.000  0.000 [4 per cell]
Ho  0.250  0.250  0.250 [8 per cell]
Zr  0.000  0.000  0.500 [4 per cell]

Output
energy above the lowest structure with this stoichiometry	0.56	eV per formula unit
formation enthalpy at 0 K	87.0	kJ/mol of formula units

---

Q: Which formula does entry 2 have?
A: Ga2SnSb2